# YMgSe2 PBE relaxed
data_YMgSe2
_cell_length_a 4.1468
_cell_length_b 5.7703
_cell_length_c 7.5632
_cell_angle_alpha 90.00
_cell_angle_beta 90.00
_cell_angle_gamma 90.00
_space_group_name_H-M_alt 'I m m m'
_space_group_IT_number 71
_space_group_name_Hall '-I 2 2'
loop_
_atom_site_label
_atom_site_type_symbol
_atom_site_fract_x
_atom_site_fract_y
_atom_site_fract_z
Y1 Y 0.0000 0.0000 0.0000
Mg1 Mg 0.0000 0.0000 0.5000
Se1 Se 0.0000 0.5000 0.2247
# - Uncorrected formation energy: -4.58 eV per formula unit
# - DFT total energy: -4.90 eV/atom


# Y2Mg2Se PBE relaxed
data_Y2Mg2Se
_cell_length_a 7.4697
_cell_length_b 7.4697
_cell_length_c 5.2361
_cell_angle_alpha 90.00
_cell_angle_beta 90.00
_cell_angle_gamma 90.00
_space_group_name_H-M_alt 'P 4/m b m'
_space_group_IT_number 127
_space_group_name_Hall '-P 4 2ab'
loop_
_atom_site_label
_atom_site_type_symbol
_atom_site_fract_x
_atom_site_fract_y
_atom_site_fract_z
Y1 Y 0.1636 0.3364 0.0000
Mg1 Mg 0.1378 0.6378 0.5000
Se1 Se 0.0000 0.0000 0.0000
# - Uncorrected formation energy: -2.50 eV per formula unit
# - DFT total energy: -4.42 eV/atom


# Y2MgSe PBE relaxed
data_Y2MgSe
_cell_length_a 6.8985
_cell_length_b 8.1559
_cell_length_c 3.5538
_cell_angle_alpha 90.00
_cell_angle_beta 90.00
_cell_angle_gamma 90.00
_space_group_name_H-M_alt 'C m m m'
_space_group_IT_number 65
_space_group_name_Hall '-C 2 2'
loop_
_atom_site_label
_atom_site_type_symbol
_atom_site_fract_x
_atom_site_fract_y
_atom_site_fract_z
Y1 Y 0.2500 0.2500 0.0000
Mg1 Mg 0.0000 0.0000 0.5000
Se1 Se 0.0000 0.5000 0.5000
# - Uncorrected formation energy: -2.40 eV per formula unit
# - DFT total energy: -5.10 eV/atom
# - Relative energy among the computed polymorphs: 25.0 kJ per mole of atoms


# YMgSe2 PBE relaxed
data_YMgSe2
_cell_length_a 4.1276
_cell_length_b 4.1276
_cell_length_c 25.1355
_cell_angle_alpha 90.00
_cell_angle_beta 90.00
_cell_angle_gamma 120.00
_space_group_name_H-M_alt 'R -3 m'
_space_group_IT_number 166
_space_group_name_Hall '-R 3 2"'
loop_
_atom_site_label
_atom_site_type_symbol
_atom_site_fract_x
_atom_site_fract_y
_atom_site_fract_z
Y1 Y 0.0000 0.0000 0.0000
Mg1 Mg 0.0000 0.0000 0.5000
Se1 Se 0.0000 0.0000 0.3968
# - Uncorrected formation energy: -4.82 eV per formula unit
# - DFT total energy: -4.96 eV/atom


# YMg2Se2 PBE relaxed
data_YMg2Se2
_cell_length_a 7.8317
_cell_length_b 7.8317
_cell_length_c 3.6019
_cell_angle_alpha 90.00
_cell_angle_beta 90.00
_cell_angle_gamma 90.00
_space_group_name_H-M_alt 'P 4/m b m'
_space_group_IT_number 127
_space_group_name_Hall '-P 4 2ab'
loop_
_atom_site_label
_atom_site_type_symbol
_atom_site_fract_x
_atom_site_fract_y
_atom_site_fract_z
Y1 Y 0.0000 0.0000 0.0000
Mg1 Mg 0.1279 0.3721 0.0000
Se1 Se 0.1771 0.6771 0.5000
# - Uncorrected formation energy: -2.74 eV per formula unit
# - DFT total energy: -3.87 eV/atom
# - Relative energy among the computed polymorphs: 15.2 kJ per mole of atoms


# Y2MgSe PBE relaxed
data_Y2MgSe
_cell_length_a 3.5973
_cell_length_b 3.5973
_cell_length_c 8.2673
_cell_angle_alpha 90.00
_cell_angle_beta 90.00
_cell_angle_gamma 90.00
_space_group_name_H-M_alt 'P 4 m m'
_space_group_IT_number 99
_space_group_name_Hall 'P 4 -2'
loop_
_atom_site_label
_atom_site_type_symbol
_atom_site_fract_x
_atom_site_fract_y
_atom_site_fract_z
Y1 Y 0.0000 0.0000 0.0000
Y2 Y 0.5000 0.5000 0.3074
Mg1 Mg 0.0000 0.0000 0.5835
Se1 Se 0.5000 0.5000 0.8063
# - Uncorrected formation energy: -2.41 eV per formula unit
# - DFT total energy: -5.10 eV/atom
# - Relative energy among the computed polymorphs: 24.9 kJ per mole of atoms